## Mg2HPbW (PBE)

Data for Mg2HPbW after structural relaxation.

Geometry as CIF:
```
data_Mg2HPbW
_chemical_formula_sum 'Mg2 H1 Pb1 W1'
_cell_length_a 5.419
_cell_length_b 5.419
_cell_length_c 5.475
_cell_angle_alpha 90.00
_cell_angle_beta 90.00
_cell_angle_gamma 90.00
_space_group_name_H-M_alt 'P 4/m m m'
_space_group_IT_number 123
_space_group_name_Hall '-P 4 2'
loop_
_atom_site_label
_atom_site_type_symbol
_atom_site_fract_x
_atom_site_fract_y
_atom_site_fract_z
Mg1 Mg 0.000 0.500 0.000
H1 H 0.000 0.000 0.500
Pb1 Pb 0.500 0.500 0.500
W1 W 0.500 0.500 0.000
```

* electronic total energy: -3.24 eV/atom


## Ni2I2Cl (PBE)

Data for Ni2I2Cl after structural relaxation.

Geometry as CIF:
```
data_Ni2I2Cl
_chemical_formula_sum 'Ni4 I4 Cl2'
_cell_length_a 8.233
_cell_length_b 8.233
_cell_length_c 3.494
_cell_angle_alpha 90.00
_cell_angle_beta 90.00
_cell_angle_gamma 90.00
_space_group_name_H-M_alt 'P 4/m b m'
_space_group_IT_number 127
_space_group_name_Hall '-P 4 2ab'
loop_
_atom_site_label
_atom_site_type_symbol
_atom_site_fract_x
_atom_site_fract_y
_atom_site_fract_z
Ni1 Ni 0.099 0.401 0.000
I1 I 0.148 0.648 0.500
Cl1 Cl 0.000 0.000 0.500
```

* energy relative to the elements, uncorrected: 480 meV per atom
* ΔE to the lowest computed polymorph: 487 meV/atom
* electronic total energy: -2.82 eV/atom


## Na2Ac2Te3 (PBE)

Data for Na2Ac2Te3 after structural relaxation.

Geometry as CIF:
```
data_Na2Ac2Te3
_chemical_formula_sum 'Na4 Ac4 Te6'
_cell_length_a 16.423
_cell_length_b 4.540
_cell_length_c 7.768
_cell_angle_alpha 90.00
_cell_angle_beta 108.51
_cell_angle_gamma 90.00
_space_group_name_H-M_alt 'C 1 2/m 1'
_space_group_IT_number 12
loop_
_space_group_symop_operation_xyz
'x,y,z'
'-x,-y,-z'
'-x,y,-z'
'x,-y,z'
'x+1/2,y+1/2,z'
'-x+1/2,-y+1/2,-z'
'-x+1/2,y+1/2,-z'
'x+1/2,-y+1/2,z'
loop_
_atom_site_label
_atom_site_type_symbol
_atom_site_fract_x
_atom_site_fract_y
_atom_site_fract_z
Na1 Na 0.093 0.000 0.203
Ac1 Ac 0.130 0.500 0.782
Te1 Te 0.000 0.000 0.500
Te2 Te 0.226 0.500 0.228
```

* energy relative to the elements, uncorrected: -1060 meV per atom
* electronic total energy: -3.96 eV/atom